No. 1
Density functional theory data (GGA-PBE) for an optimized crystal structure of BeAsOs2.

abc: 2.758 2.758 8.592
angles: 90.00 90.00 119.03
Atoms (fractional coordinates):
As  0.000  0.000  0.509
Be  0.500  0.500  0.767
Os  0.000  0.000  0.980
Os  0.500  0.500  0.245

Values from the calculation:
Space-group type: Cmm2, No. 35
E, eV/atom: -7.13

No. 2
Density functional theory data (GGA-PBE) for an optimized crystal structure of Ho4InAu7.

abc: 5.205 8.186 7.601
angles: 67.63 69.98 71.46
Atoms (fractional coordinates):
Ho  0.561  0.262  0.615
Au  0.199  0.990  0.612
Au  0.942  0.380  0.737
Au  0.689  0.447  0.176
Au  0.801  0.010  0.388
Ho  0.260  0.255  0.225
Ho  0.439  0.738  0.385
In  0.000  0.000  0.000
Au  0.311  0.553  0.824
Au  0.500  0.000  0.000
Au  0.058  0.620  0.263
Ho  0.740  0.745  0.775

Values from the calculation:
Space-group type: C2/m, No. 12
E, eV/atom: -4.32

| no. | D(E_F) (states/eV per cell) | ΔH_f (0 K) (kcal/mol of atoms) |
| --- | --- | --- |
| 1 | 4.220 | 13.3 |
| 2 | 6.448 | -15.1 |